one) PBE-GGA AgGe2Au, optimized geometry; density of states at the Fermi level = 1.22 states/eV/f.u.; space group = No. 166; mass density = 9.71 g/cm³
1.0
1.481 0.855 10.126
-1.481 0.855 10.126
0.000 -1.710 10.126
Ag Ge Au
1 2 1
Cartesian
0.000 0.000 0.000 Ag
0.000 0.000 2.703 Ge
0.000 0.000 27.675 Ge
0.000 0.000 15.189 Au

***

two) PBE-GGA AgGe2Au, optimized geometry; density of states at the Fermi level = 1.41 states/eV/f.u.; space group = No. 123; mass density = 10.05 g/cm³
1.0
4.340 0.000 0.000
0.000 4.340 0.000
0.000 0.000 3.948
Ag Ge Au
1 2 1
Cartesian
0.000 0.000 0.000 Ag
0.000 2.170 1.974 Ge
2.170 0.000 1.974 Ge
2.170 2.170 0.000 Au

***

three) PBE-GGA AgGe2Au, optimized geometry; density of states at the Fermi level = 1.27 states/eV/f.u.; space group = No. 225; mass density = 9.93 g/cm³
1.0
0.000 3.351 3.351
3.351 0.000 3.351
3.351 3.351 0.000
Ag Ge Au
1 2 1
Cartesian
0.000 0.000 0.000 Ag
1.676 1.676 1.676 Ge
5.027 5.027 5.027 Ge
3.351 3.351 3.351 Au

***

four) PBE-GGA AgGe2Au, optimized geometry; density of states at the Fermi level = 1.65 states/eV/f.u.; space group = No. 160; mass density = 9.19 g/cm³
1.0
2.199 1.269 4.858
-2.199 1.269 4.858
0.000 -2.539 4.858
Ag Ge Au
1 2 1
Cartesian
0.000 0.000 0.000 Ag
0.000 0.000 8.606 Ge
0.000 0.000 11.433 Ge
0.000 0.000 2.833 Au

***

Energies in kJ/mol of atoms, measured from the most stable structure: one) 5.6; two) 1.1; three) 2.5; four) 0.0.

***

one) PBE-GGA AgGe2Au, optimized geometry; density of states at the Fermi level = 1.32 states/eV/f.u.; space group = No. 123; mass density = 9.92 g/cm³
1.0
3.534 0.000 0.000
0.000 3.534 0.000
0.000 0.000 6.034
Ag Ge Au
1 2 1
Cartesian
0.000 0.000 0.000 Ag
1.767 1.767 1.562 Ge
1.767 1.767 4.472 Ge
0.000 0.000 3.017 Au

***

two) PBE-GGA AgGe2Au, optimized geometry; density of states at the Fermi level = 2.02 states/eV/f.u.; space group = No. 122; mass density = 9.36 g/cm³
1.0
-3.764 3.764 2.818
3.764 -3.764 2.818
3.764 3.764 -2.818
Ag Ge Au
2 4 2
Cartesian
0.000 0.000 0.000 Ag
0.000 3.764 1.409 Ag
1.882 1.992 -0.704 Ge
5.537 1.882 0.704 Ge
1.882 1.773 2.113 Ge
-1.773 1.882 3.522 Ge
3.764 0.000 1.409 Au
0.000 0.000 2.818 Au

***

Energies in kJ/mol of atoms, measured from the most stable structure: one) 0.0; two) 5.1.

***

one) PBE-GGA AgGeAu, optimized geometry; density of states at the Fermi level = 2.12 states/eV/f.u.; space group = No. 216; mass density = 10.40 g/cm³
1.0
0.000 3.112 3.112
3.112 0.000 3.112
3.112 3.112 0.000
Ag Ge Au
1 1 1
Cartesian
0.000 0.000 0.000 Ag
1.556 1.556 1.556 Ge
3.112 3.112 3.112 Au

***

two) PBE-GGA AgGeAu, optimized geometry; density of states at the Fermi level = 0.78 states/eV/f.u.; space group = No. 14; mass density = 10.89 g/cm³
1.0
5.637 0.000 0.000
0.000 7.315 0.000
-4.341 0.000 5.584
Ag Ge Au
4 4 4
Cartesian
0.641 1.240 0.553 Ag
-1.529 2.418 3.345 Ag
2.825 4.897 2.239 Ag
0.655 6.075 5.031 Ag
-2.447 4.539 5.209 Ge
-0.276 6.433 2.417 Ge
1.572 0.882 3.168 Ge
3.742 2.776 0.375 Ge
0.074 4.039 1.526 Au
-2.096 6.933 4.318 Au
3.392 0.382 1.266 Au
1.222 3.276 4.059 Au

***

Energies in kJ/mol of atoms, measured from the most stable structure: one) 6.6; two) 0.0.

***

one) PBE-GGA Ag2Ge2Au, optimized geometry; density of states at the Fermi level = 1.61 states/eV/f.u.; space group = No. 127; mass density = 9.68 g/cm³
1.0
6.606 0.000 0.000
0.000 6.606 0.000
0.000 0.000 4.386
Ag Ge Au
4 4 2
Cartesian
1.132 2.171 0.000 Ag
2.171 5.474 0.000 Ag
4.435 1.132 0.000 Ag
5.474 4.435 0.000 Ag
0.892 4.195 2.193 Ge
2.411 0.892 2.193 Ge
4.195 5.714 2.193 Ge
5.714 2.411 2.193 Ge
0.000 0.000 2.193 Au
3.303 3.303 2.193 Au

***

two) PBE-GGA Ag2Ge2Au, optimized geometry; density of states at the Fermi level = 1.82 states/eV/f.u.; space group = No. 139; mass density = 9.36 g/cm³
1.0
-1.940 1.940 6.573
1.940 -1.940 6.573
1.940 1.940 -6.573
Ag Ge Au
2 2 1
Cartesian
1.940 0.000 3.286 Ag
0.000 1.940 3.286 Ag
0.000 0.000 1.230 Ge
0.000 0.000 11.916 Ge
0.000 0.000 6.573 Au

***

Energies in kJ/mol of atoms, measured from the most stable structure: one) 0.0; two) 17.8.

***

one) PBE-GGA Ag2GeAu4, optimized geometry; density of states at the Fermi level = 1.38 states/eV/f.u.; space group = No. 55; mass density = 13.21 g/cm³
1.0
4.985 0.000 0.000
0.000 11.645 0.000
0.000 0.000 4.660
Ag Ge Au
4 2 8
Cartesian
1.212 2.186 0.000 Ag
1.281 8.008 0.000 Ag
3.704 3.636 0.000 Ag
3.773 9.459 0.000 Ag
0.000 0.000 2.330 Ge
2.492 5.822 2.330 Ge
0.424 3.717 2.330 Au
1.222 5.131 0.000 Au
1.270 10.953 0.000 Au
2.069 9.539 2.330 Au
2.916 2.105 2.330 Au
3.715 0.691 0.000 Au
3.762 6.514 0.000 Au
4.561 7.928 2.330 Au

***

two) PBE-GGA Ag2GeAu4, optimized geometry; density of states at the Fermi level = 2.47 states/eV/f.u.; space group = No. 42; mass density = 13.00 g/cm³
1.0
0.000 4.977 2.886
4.787 0.000 2.886
4.787 4.977 0.000
Ag Ge Au
2 1 4
Cartesian
2.393 2.489 0.000 Ag
2.393 2.489 2.886 Ag
4.787 4.977 0.551 Ge
7.109 4.977 4.331 Au
4.787 3.129 4.357 Au
4.787 6.826 4.357 Au
2.464 4.977 4.331 Au

***

Energies in kJ/mol of atoms, measured from the most stable structure: one) 0.0; two) 0.7.

***

one) PBE-GGA Ag5GeAu6, optimized geometry; density of states at the Fermi level = 3.51 states/eV/f.u.; space group = No. 71; mass density = 13.79 g/cm³
1.0
-2.067 4.172 6.265
2.067 -4.172 6.265
2.067 4.172 -6.265
Ag Ge Au
5 1 6
Cartesian
0.000 0.000 0.000 Ag
2.067 0.000 2.061 Ag
0.000 0.000 4.146 Ag
0.000 0.000 8.384 Ag
0.000 4.172 4.204 Ag
0.000 4.172 0.000 Ge
2.067 -2.070 4.177 Au
2.067 2.112 0.000 Au
0.000 2.102 2.088 Au
2.067 2.070 4.177 Au
0.000 2.059 6.265 Au
0.000 6.242 2.088 Au

***

two) PBE-GGA Ag5GeAu6, optimized geometry; density of states at the Fermi level = 2.68 states/eV/f.u.; space group = No. 12; mass density = 13.78 g/cm³
1.0
2.534 -4.403 0.000
2.534 4.403 0.000
-1.837 0.000 9.686
Ag Ge Au
5 1 6
Cartesian
0.000 0.000 0.000 Ag
1.616 2.939 4.843 Ag
2.534 1.467 0.000 Ag
2.534 -1.467 0.000 Ag
1.616 -2.939 4.843 Ag
1.616 0.000 4.843 Ge
0.820 1.468 2.410 Au
-0.124 0.000 7.283 Au
0.820 -1.468 2.410 Au
2.412 1.468 7.276 Au
3.356 0.000 2.404 Au
2.412 -1.468 7.276 Au

***

Energies in kJ/mol of atoms, measured from the most stable structure: one) 0.0; two) 1.0.

***

one) PBE-GGA Ag2GeAu6, optimized geometry; density of states at the Fermi level = 3.22 states/eV/f.u.; space group = No. 12; mass density = 13.20 g/cm³
1.0
5.881 -3.956 0.000
5.881 3.956 0.000
-1.536 0.000 3.975
Ag Ge Au
2 1 6
Cartesian
1.403 0.000 0.547 Ag
8.822 0.000 3.428 Ag
5.113 0.000 1.987 Ge
3.378 1.957 1.312 Au
5.881 1.552 0.000 Au
6.847 1.957 2.663 Au
3.378 -1.957 1.312 Au
5.881 -1.552 0.000 Au
6.847 -1.957 2.663 Au

***

two) PBE-GGA Ag2GeAu6, optimized geometry; density of states at the Fermi level = 2.24 states/eV/f.u.; space group = No. 12; mass density = 14.64 g/cm³
1.0
7.198 -3.982 0.000
7.198 3.982 0.000
-0.241 0.000 2.908
Ag Ge Au
2 1 6
Cartesian
2.529 0.000 1.410 Ag
11.627 0.000 1.498 Ag
7.198 0.000 0.000 Ge
4.642 1.436 2.905 Au
7.078 2.584 1.454 Au
9.514 1.436 0.003 Au
4.642 -1.436 2.905 Au
7.078 -2.584 1.454 Au
9.514 -1.436 0.003 Au

***

Energies in kJ/mol of atoms, measured from the most stable structure: one) 6.3; two) 0.0.

***

one) PBE-GGA Ag3GeAu6, optimized geometry; density of states at the Fermi level = 3.44 states/eV/f.u.; space group = No. 14; mass density = 13.69 g/cm³
1.0
6.534 0.000 0.000
0.000 7.984 0.000
-5.504 0.000 7.338
Ag Ge Au
6 2 12
Cartesian
0.000 0.000 0.000 Ag
-2.752 3.992 3.669 Ag
-2.830 0.881 6.362 Ag
-0.078 3.111 2.693 Ag
1.107 4.873 4.645 Ag
3.859 7.103 0.976 Ag
0.515 0.000 3.669 Ge
3.267 3.992 0.000 Ge
-1.985 1.171 3.630 Au
-4.737 2.821 7.299 Au
-0.834 5.931 2.748 Au
-3.586 6.045 6.417 Au
1.768 5.100 1.814 Au
-0.984 6.876 5.483 Au
2.014 1.108 1.855 Au
-0.738 2.884 5.524 Au
4.616 1.939 0.921 Au
1.864 2.053 4.590 Au
5.767 5.163 0.039 Au
3.015 6.813 3.708 Au

***

two) PBE-GGA Ag3GeAu6, optimized geometry; density of states at the Fermi level = 3.22 states/eV/f.u.; space group = No. 11; mass density = 14.52 g/cm³
1.0
7.780 0.000 0.000
0.000 4.827 0.000
-3.364 0.000 9.607
Ag Ge Au
6 2 12
Cartesian
-0.001 1.207 2.224 Ag
2.220 1.207 0.315 Ag
1.139 3.620 3.539 Ag
3.277 1.207 6.068 Ag
2.197 3.620 9.293 Ag
4.418 3.620 7.384 Ag
-1.054 3.620 5.555 Ge
5.470 1.207 4.052 Ge
-1.733 1.207 7.024 Au
0.558 3.620 0.651 Au
0.441 1.207 5.097 Au
-0.582 3.620 8.335 Au
2.751 1.207 3.211 Au
1.091 1.207 7.989 Au
3.325 3.620 1.618 Au
1.666 3.620 6.396 Au
4.998 1.207 1.272 Au
3.976 3.620 4.511 Au
3.859 1.207 8.957 Au
6.149 3.620 2.584 Au

***

Energies in kJ/mol of atoms, measured from the most stable structure: one) 5.4; two) 0.0.

***

one) PBE-GGA Ag2GeAu3, optimized geometry; density of states at the Fermi level = 1.29 states/eV/f.u.; space group = No. 63; mass density = 13.35 g/cm³
1.0
7.264 -2.450 0.000
7.264 2.450 0.000
0.000 0.000 6.147
Ag Ge Au
4 2 6
Cartesian
2.551 0.001 4.610 Ag
2.551 -0.001 1.537 Ag
11.978 0.001 4.610 Ag
11.978 -0.001 1.537 Ag
7.264 0.009 4.610 Ge
7.264 -0.009 1.537 Ge
0.000 0.000 0.000 Au
0.000 0.000 3.074 Au
4.978 0.000 0.000 Au
4.978 0.000 3.074 Au
9.551 0.000 0.000 Au
9.551 0.000 3.074 Au

***

two) PBE-GGA Ag2GeAu3, optimized geometry; density of states at the Fermi level = 1.19 states/eV/f.u.; space group = No. 2; mass density = 13.39 g/cm³
1.0
4.682 0.000 0.000
0.050 5.864 0.000
0.042 0.248 7.943
Ag Ge Au
4 2 6
Cartesian
1.167 0.808 0.856 Ag
1.231 5.231 3.496 Ag
3.542 0.882 4.447 Ag
3.607 5.305 7.088 Ag
1.220 3.586 6.011 Ge
3.554 2.527 1.933 Ge
1.205 0.842 6.018 Au
1.214 2.305 3.343 Au
1.232 3.781 0.707 Au
3.542 2.332 7.236 Au
3.560 3.808 4.600 Au
3.569 5.271 1.925 Au

***

Energies in kJ/mol of atoms, measured from the most stable structure: one) 2.0; two) 0.0.

***

one) PBE-GGA LiAgGeAu2, optimized geometry; density of states at the Fermi level = 1.52 states/eV/f.u.; space group = No. 123; mass density = 10.21 g/cm³
1.0
4.571 0.000 0.000
0.000 4.571 0.000
0.000 0.000 4.527
Li Ag Ge Au
1 1 1 2
Cartesian
0.000 0.000 0.000 Li
0.000 0.000 2.263 Ag
2.286 2.286 2.263 Ge
0.000 2.286 0.000 Au
2.286 0.000 0.000 Au

***

two) PBE-GGA LiAgGeAu2, optimized geometry; density of states at the Fermi level = 1.77 states/eV/f.u.; space group = No. 123; mass density = 10.36 g/cm³
1.0
4.559 0.000 0.000
0.000 4.559 0.000
0.000 0.000 4.485
Li Ag Ge Au
1 1 1 2
Cartesian
0.000 0.000 0.000 Li
2.280 2.280 2.242 Ag
0.000 0.000 2.242 Ge
0.000 2.280 0.000 Au
2.280 0.000 0.000 Au

***

Energies in kJ/mol of atoms, measured from the most stable structure: one) 0.0; two) 2.3.

***

one) PBE-GGA TlAgGeAu2, optimized geometry; density of states at the Fermi level = 0.86 states/eV/f.u.; space group = No. 123; mass density = 10.42 g/cm³
1.0
4.952 0.000 0.000
0.000 4.952 0.000
0.000 0.000 5.060
Tl Ag Ge Au
1 1 1 2
Cartesian
0.000 0.000 0.000 Tl
2.476 2.476 0.000 Ag
2.476 2.476 2.530 Ge
0.000 2.476 2.530 Au
2.476 0.000 2.530 Au

***

two) PBE-GGA TlAgGeAu2, optimized geometry; density of states at the Fermi level = 0.97 states/eV/f.u.; space group = No. 123; mass density = 9.75 g/cm³
1.0
4.887 0.000 0.000
0.000 4.887 0.000
0.000 0.000 5.554
Tl Ag Ge Au
1 1 1 2
Cartesian
0.000 0.000 0.000 Tl
2.443 2.443 0.000 Ag
0.000 0.000 2.777 Ge
0.000 2.443 2.777 Au
2.443 0.000 2.777 Au

***

Energies in kJ/mol of atoms, measured from the most stable structure: one) 0.0; two) 28.1.